The following is a DFT calculation (GGA-PBE) of a geometry-optimized BeSi2Sb structure.

Output
VASP energy (eV/atom): -4.065
Offset from the most stable computed form (eV per atom): 0.294
Formation energy from raw total energies (eV per atom): 0.61
Size of the total moment (μB/cell): 0.00

```
data_BeSi2Sb
_space_group_name_H-M_alt 'I m m 2'
_space_group_IT_number 44
_cell_length_a 3.653
_cell_length_b 5.355
_cell_length_c 7.272
_cell_angle_alpha 90.00
_cell_angle_beta 90.00
_cell_angle_gamma 90.00
loop_
_space_group_symop_operation_xyz
'x,y,z'
'-x,-y,z'
'-x,y,z'
'x,-y,z'
'x+1/2,y+1/2,z+1/2'
'-x+1/2,-y+1/2,z+1/2'
'-x+1/2,y+1/2,z+1/2'
'x+1/2,-y+1/2,z+1/2'
loop_
_atom_site_label
_atom_site_type_symbol
_atom_site_fract_x
_atom_site_fract_y
_atom_site_fract_z
Be1 Be 0.000 0.000 0.000
Si1 Si 0.000 0.000 0.576
Si2 Si 0.000 0.500 0.310
Sb1 Sb 0.000 0.500 0.757
```